1.
Below is an optimized crystal structure of AcPrNd5Sm2, with properties calculated at the PBE level.

```
AcPrNd5Sm2
1.0
-1.4006 7.6729 4.9899
-4.7335 -4.9277 6.2486
9.5961 -2.7109 -1.7287
Ac Pr Nd Sm
2 2 10 4
Direct
0.2500 0.7500 0.5000
0.7500 0.2500 0.5000
0.2500 0.2500 0.5000
0.7500 0.7500 0.5000
0.9205 0.4205 0.2589
0.6616 0.1616 0.7411
0.0795 0.5795 0.7411
0.1616 0.0795 0.7411
0.5795 0.6616 0.7411
0.8384 0.9205 0.2589
0.4205 0.3384 0.2589
0.3384 0.8384 0.2589
0.5000 0.5000 0.0000
0.0000 0.0000 0.0000
0.1115 0.3885 0.0000
0.6115 0.1115 0.0000
0.3885 0.8885 0.0000
0.8885 0.6115 0.0000
```



2.
Below is an optimized crystal structure of AcPrNd2Sm4, with properties calculated at the PBE level.

```
AcPrNd2Sm4
1.0
9.6229 -0.0374 -1.7658
-0.0442 9.6229 -1.7658
-6.0529 -6.0571 8.5318
Ac Pr Nd Sm
2 2 4 8
Direct
0.0000 0.5000 0.0000
0.0000 0.5000 0.5000
0.5000 0.5000 0.5000
0.0000 0.0000 0.0000
0.5000 0.0000 0.0000
0.5000 0.0000 0.5000
0.0000 0.0000 0.5000
0.5000 0.5000 0.0000
0.2668 0.7643 0.0157
0.7357 0.2332 0.4843
0.2643 0.7668 0.5157
0.7332 0.2357 0.9844
0.7240 0.7391 0.9831
0.7609 0.7760 0.5169
0.2391 0.2240 0.4831
0.2760 0.2609 0.0169
```



3.
Below is an optimized crystal structure of Ac6PrNd2Sm3, with properties calculated at the PBE level.

```
Ac6PrNd2Sm3
1.0
-4.8849 -4.2508 -1.6582
5.1675 -2.1091 3.6784
-6.1419 5.0931 9.5256
Ac Pr Nd Sm
6 1 2 3
Direct
0.9157 0.5822 0.7480
0.7509 0.7509 0.2522
0.0843 0.4178 0.2520
0.5822 0.9157 0.7480
0.2491 0.2491 0.7478
0.4178 0.0843 0.2520
0.0000 0.0000 0.0000
0.3334 0.6666 0.0000
0.6666 0.3334 0.0000
0.1668 0.8332 0.5000
0.8332 0.1668 0.5000
0.5000 0.5000 0.5000
```



Number 1: total energy -4.423 eV/atom, calculated formation energy 2.4 eV/f.u.. Number 2: total energy -4.279 eV/atom, calculated formation energy 3.1 eV/f.u.. Number 3: total energy -4.400 eV/atom, calculated formation energy 0.3 eV/f.u..